#one
The following is a DFT calculation (GGA-PBE) of a relaxed structure of PmErGaCo.

```
PmErGaCo
1.0
7.030 0.000 0.000
0.000 7.030 0.000
0.000 0.000 7.030
Pm Er Ga Co
4 4 4 4
direct
0.000 0.000 0.000
0.000 0.500 0.500
0.500 0.000 0.500
0.500 0.500 0.000
0.000 0.000 0.500
0.000 0.500 0.000
0.500 0.000 0.000
0.500 0.500 0.500
0.250 0.250 0.750
0.250 0.750 0.250
0.750 0.250 0.250
0.750 0.750 0.750
0.250 0.250 0.250
0.250 0.750 0.750
0.750 0.250 0.750
0.750 0.750 0.250
```

---

#two
The following is a DFT calculation (GGA-PBE) of a relaxed structure of PmErGaCo.

```
PmErGaCo
1.0
4.160 0.000 0.000
0.000 4.129 0.000
0.000 0.000 10.375
Pm Er Ga Co
2 2 2 2
direct
0.000 0.000 0.000
0.000 0.500 0.500
0.500 0.000 0.714
0.500 0.500 0.214
0.500 0.000 0.414
0.500 0.500 0.914
0.000 0.000 0.283
0.000 0.500 0.783
```

---

Tell me which of them is the least stable. Sure, it is #one.